Entry from Alexandria: MgIn2Ni2 after structural relaxation (PBE-GGA).

Properties
Calculated total energy in eV/atom: -3.873
D(E_F) in states/eV/atom: 0.791
DFT formation energy in eV per atom: -0.15

a b c (Å): 5.2478 4.3493 8.1531
angles (deg): 90.00 107.53 90.00
With the nearest neighbours (Å) after each atom.
Space group P2_1/m (No. 11)
Inequivalent atoms, fractional coordinates:
Mg 0.0543 0.2500 0.2540  6 Ni 2.64-2.82
In 0.3099 0.2500 0.9472  4 Ni 2.54-2.74
In 0.4225 0.2500 0.6116  5 Ni 2.64-2.84
Ni 0.0991 0.7500 0.4435  4 In 2.64-2.84, 3 Mg 2.64-2.82, 2 Ni 2.69
Ni 0.1892 0.7500 0.0930  5 In 2.54-2.74, 3 Mg 2.73-2.74